Record 1
VASP calculation (GGA-PBE) on Mg4Mn after structural relaxation.

Calculated values
D(E_F), states/eV/cell: 5.07
ΔE_f, meV per atom: 604
Space group: Pm-3m
Size of the total moment, μB per formula unit: 3.310
Offset from the most stable computed form, meV/atom: 436

Structure (extended XYZ):
```
5
Lattice="5.0961 0.0000 0.0000 0.0000 5.0961 0.0000 0.0000 0.0000 5.0961" Properties=species:S:1:pos:R:3 pbc="T T T"
Mg 0.0000 0.0000 0.0000
Mg 2.5481 0.0000 2.5481
Mg 0.0000 2.5481 2.5481
Mg 2.5481 2.5481 0.0000
Mn 2.5481 2.5481 2.5481
```

Record 2
VASP calculation (GGA-PBE) on TbPm2Ni after structural relaxation.

Calculated values
D(E_F), states/eV/cell: 6.75
ΔE_f, meV per atom: -78
Space group: P4/mmm
Size of the total moment, μB per formula unit: 0.000
Offset from the most stable computed form, meV/atom: 122

Structure (extended XYZ):
```
4
Lattice="3.5433 0.0000 0.0000 0.0000 3.5433 0.0000 0.0000 0.0000 8.6964" Properties=species:S:1:pos:R:3 pbc="T T T"
Pm 0.0000 0.0000 1.6590
Pm 0.0000 0.0000 7.0375
Tb 1.7717 1.7717 4.3482
Ni 1.7717 1.7717 0.0000
```

Record 3
VASP calculation (GGA-PBE) on NdSmEu2 after structural relaxation.

Calculated values
D(E_F), states/eV/cell: 5.20
ΔE_f, meV per atom: 96
Space group: P4/mmm
Size of the total moment, μB per formula unit: 14.908
Offset from the most stable computed form, meV/atom: 17

Structure (extended XYZ):
```
4
Lattice="-0.1305 -1.3733 -3.4444 3.1816 -1.8118 0.6018 -5.5179 -8.4952 3.5961" Properties=species:S:1:pos:R:3 pbc="T T T"
Sm -1.2335 -5.8401 0.3767
Eu -1.3886 -2.1378 0.9050
Eu -4.1293 -6.3574 2.6911
Nd 1.5255 -1.5925 -1.4213
```

Record 4
VASP calculation (GGA-PBE) on Rb3Tl2I5 after structural relaxation.

Calculated values
D(E_F), states/eV/cell: 0.00
Space group: C2/m
Size of the total moment, μB per formula unit: 0.000
Formation energy without anion corrections, kJ/mol of formula units: -1121.0

Structure (extended XYZ):
```
10
Lattice="5.0606 0.0000 1.1230 2.4823 8.5779 0.7777 0.1527 -2.6606 11.2759" Properties=species:S:1:pos:R:3 pbc="T T T"
I 3.1113 1.4317 9.9075
I 1.5856 0.6422 4.8188
I 4.5844 4.4856 3.2690
I 6.1100 5.2751 8.3577
I 0.0000 0.0000 0.0000
Rb 0.8488 -0.9242 8.1391
Rb 6.8469 6.8415 5.0374
Rb 3.8478 2.9587 6.5882
Tl 2.2843 2.2528 1.6703
Tl 5.4114 3.6645 11.5062
```

Record 5
VASP calculation (GGA-PBE) on GeRuSeBr2 after structural relaxation.

Calculated values
D(E_F), states/eV/cell: 5.05
Space group: P4/mmm
Size of the total moment, μB per formula unit: 3.481
Offset from the most stable computed form, meV/atom: 443
Formation energy without anion corrections, kJ/mol of formula units: 388.1

Structure (extended XYZ):
```
5
Lattice="-3.4130 -1.9749 3.4225 3.3832 -3.7969 1.1829 2.0077 2.9415 3.6995" Properties=species:S:1:pos:R:3 pbc="T T T"
Br -1.7065 -0.9875 1.7113
Br 1.6916 -1.8985 0.5914
Se 1.0039 1.4708 1.8498
Ge 0.0000 0.0000 0.0000
Ru 0.9890 -1.4152 4.1524
```

Record 6
VASP calculation (GGA-PBE) on Dy2Er6Zn after structural relaxation.

Calculated values
D(E_F), states/eV/cell: 28.75
ΔE_f, meV per atom: 31
Space group: Pnnm
Size of the total moment, μB per formula unit: 0.000

Structure (extended XYZ):
```
18
Lattice="5.2827 0.0000 0.2408 0.0001 9.8215 -0.0018 -0.4595 -0.0018 10.0334" Properties=species:S:1:pos:R:3 pbc="T T T"
Er 2.3269 4.6230 6.9866
Er 5.0259 6.7235 5.8219
Er 2.4633 8.5584 3.9963
Er 4.9081 9.5339 8.4217
Er -0.0847 0.2858 1.8507
Er 4.8749 6.1711 9.1331
Er 2.3601 1.2612 6.2761
Er 2.4964 5.1967 3.2858
Er -0.2025 3.0962 4.4505
Er 2.2091 1.8129 9.5871
Er 2.6142 8.0067 0.6853
Er -0.0516 3.6485 1.1393
Zn 2.6414 4.9107 0.1195
Zn -0.2297 -0.0009 5.0167
Dy 2.3048 7.8276 7.4500
Dy 5.1759 6.9031 2.5539
Dy -0.3526 2.9166 7.7185
Dy 2.5186 1.9920 2.8224
```

Record 7
VASP calculation (GGA-PBE) on Na3Nd2YTe6 after structural relaxation.

Calculated values
Space group: C2/m
Size of the total moment, μB per formula unit: 0.000
Formation energy without anion corrections, kJ/mol of formula units: -1538.2

Structure (extended XYZ):
```
12
Lattice="-4.2759 -1.0961 6.4440 6.6252 -4.0091 -1.0214 3.0804 7.1997 1.6887" Properties=species:S:1:pos:R:3 pbc="T T T"
Na -0.8953 2.0119 6.0280
Na 2.7149 1.0472 3.5557
Na 6.3250 0.0825 1.0833
Nd -0.6383 -2.0682 3.9529
Nd 2.9877 -3.0371 1.4697
Te 3.0771 -0.0050 0.4944
Te 2.4991 -2.1391 4.4839
Te 5.9100 1.1489 4.1808
Te -0.4802 0.9456 2.9305
Te 2.9307 4.2336 2.6274
Te 2.3527 2.0995 6.6170
Y 0.0000 0.0000 0.0000
```

Record 8
VASP calculation (GGA-PBE) on KLiTiSe3 after structural relaxation.

Calculated values
D(E_F), states/eV/cell: 0.11
Space group: P2_1/m
Size of the total moment, μB per formula unit: 0.000
Formation energy without anion corrections, kJ/mol of formula units: -686.9

Structure (extended XYZ):
```
12
Lattice="-3.2354 -1.5753 1.3203 -0.7813 -4.5566 -7.3510 5.0176 -4.8744 6.4798" Properties=species:S:1:pos:R:3 pbc="T T T"
Se 3.0975 -7.0220 1.9945
Se 3.4791 -5.2558 5.0367
Se -2.4782 -5.7505 -4.5876
Se -2.0967 -3.9843 -1.5453
Se 0.2120 -4.9948 2.9064
Se 0.7888 -6.0114 -2.4572
Ti 1.5420 -6.7328 4.0919
Ti -0.5412 -4.2735 -3.6428
Li 2.1686 -3.6866 3.6976
Li -1.1678 -7.3196 -3.2485
K 0.3220 -2.7004 0.3492
K 0.6788 -8.3058 0.0999
```

Record 9
VASP calculation (GGA-PBE) on Nd4Sm2DyHo2 after structural relaxation.

Calculated values
D(E_F), states/eV/cell: 14.01
ΔE_f, meV per atom: 20
Space group: C2/m
Size of the total moment, μB per formula unit: 0.000

Structure (extended XYZ):
```
9
Lattice="-1.5985 -2.3818 4.2460 -4.8627 -2.1384 -6.1222 6.4891 -4.7998 -0.2495" Properties=species:S:1:pos:R:3 pbc="T T T"
Dy 0.0000 0.0000 0.0000
Nd 0.7275 -3.1420 1.6033
Nd -0.6996 -6.1780 -3.7290
Nd 0.3972 -6.2537 -0.2665
Nd -0.3693 -3.0664 -1.8591
Sm -3.0546 -5.3634 -1.0666
Sm 3.0825 -3.9567 -1.0591
Ho 3.7981 -7.1018 0.5380
Ho -3.7702 -2.2182 -2.6637
```

Record 10
VASP calculation (GGA-PBE) on KPr2ErSe4 after structural relaxation.

Calculated values
D(E_F), states/eV/cell: 2.78
Space group: P2/m
Size of the total moment, μB per formula unit: 0.000
Formation energy without anion corrections, kJ/mol of formula units: -1320.8

Structure (extended XYZ):
```
8
Lattice="4.2117 0.0000 0.0000 0.0000 7.4106 -0.1997 0.0000 2.5577 6.9919" Properties=species:S:1:pos:R:3 pbc="T T T"
Se 4.2117 2.5179 1.8202
Se 2.1059 6.1548 1.7180
Se 2.1059 3.8135 5.0742
Se 0.0001 7.4504 4.9719
K 2.1059 6.2630 6.8920
Er 0.0000 4.9841 3.3961
Pr 2.1058 1.2788 3.4959
Pr 0.0000 2.5577 6.9919
```

Record 11
VASP calculation (GGA-PBE) on MnCo2Ru after structural relaxation.

Calculated values
D(E_F), states/eV/cell: 4.88
ΔE_f, meV per atom: 147
Space group: R3m
Size of the total moment, μB per formula unit: 2.394
Offset from the most stable computed form, meV/atom: 92

Structure (extended XYZ):
```
4
Lattice="-3.1448 -6.6267 4.0494 -0.6437 -7.0113 4.5418 -2.0261 -5.4372 6.0442" Properties=species:S:1:pos:R:3 pbc="T T T"
Mn -2.9151 -9.5632 7.3374
Ru -4.3737 -14.3485 11.0089
Co -5.7930 -19.0047 14.5813
Co -1.4545 -4.7716 3.6610
```

Record 12
VASP calculation (GGA-PBE) on TaTi5Ni2 after structural relaxation.

Calculated values
D(E_F), states/eV/cell: 9.88
ΔE_f, meV per atom: -30
Space group: Immm
Size of the total moment, μB per formula unit: 0.000

Structure (extended XYZ):
```
8
Lattice="-1.4861 1.8838 -1.5983 -1.2375 -3.7411 -5.8591 -6.3238 -3.1163 -0.3934" Properties=species:S:1:pos:R:3 pbc="T T T"
Ni -2.2337 -1.2029 -1.9412
Ni -6.8136 -3.7706 -5.9096
Ti -2.5428 -1.4366 -4.5294
Ti -4.1993 -3.8201 -5.7985
Ti -3.7806 -3.4287 -3.1262
Ti -4.8480 -1.1534 -2.0523
Ti -6.5045 -3.5369 -3.3214
Ta 0.0000 0.0000 0.0000
```

Please write out number 11 again, unchanged.
VASP calculation (GGA-PBE) on MnCo2Ru after structural relaxation.

Calculated values
D(E_F), states/eV/cell: 4.88
ΔE_f, meV per atom: 147
Space group: R3m
Size of the total moment, μB per formula unit: 2.394
Offset from the most stable computed form, meV/atom: 92

Structure (extended XYZ):
```
4
Lattice="-3.1448 -6.6267 4.0494 -0.6437 -7.0113 4.5418 -2.0261 -5.4372 6.0442" Properties=species:S:1:pos:R:3 pbc="T T T"
Mn -2.9151 -9.5632 7.3374
Ru -4.3737 -14.3485 11.0089
Co -5.7930 -19.0047 14.5813
Co -1.4545 -4.7716 3.6610
```

The highest size of the total moment belongs to which entry? NdSmEu2